A relaxed structure of Ni3OF5. Source: the Alexandria database, functional GGA+U.

abc: 4.7053 5.6292 7.7727
angles: 86.09 89.37 89.12
Site moments in Bohr magnetons follow the coordinates.
Sites, in units of the cell vectors:
F: 0.3029 0.1309 0.5697  0.08
Ni: 0.5073 0.8252 0.6666  1.87
Ni: 0.0000 0.0000 0.0000  1.84
F: 0.7010 0.2018 0.1022  0.08
Ni: 0.4927 0.1748 0.3334  1.87
F: 0.8040 0.7029 0.1011  0.09
F: 0.1964 0.6305 0.5658  0.09
O: 0.6937 0.5347 0.7698  0.76
F: 0.6971 0.8691 0.4303  0.08
F: 0.2990 0.7982 0.8978  0.08
Ni: 0.5000 0.5000 0.0000  1.88
O: 0.3063 0.4653 0.2302  0.76
F: 0.1975 0.9663 0.2323  0.08
Ni: 0.0111 0.6620 0.3299  1.87
F: 0.8025 0.0337 0.7677  0.08
F: 0.8036 0.3695 0.4342  0.09
F: 0.1960 0.2971 0.8989  0.09
Ni: 0.9889 0.3380 0.6701  1.87

Values from the calculation:
- Size of the total moment: 14.00 Bohr magnetons per cell
- Volume: 205 Å³ per cell
- Raw total energy: -4.28 eV/atom